No. 1
CsSr | PBE-GGA | optimized geometry

Results
formation energy from the elements: 0.3453 eV/atom
spin magnetization: 0.00 μB/cell
mass density: 2.18 g cm⁻³

Cell lengths 16.674, 12.692, 12.683 Å; angles 90.00, 90.00, 90.00 degrees
Atoms (fractional coordinates):
Sr (0.250, 0.089, 0.250)
Sr (0.500, 0.161, 0.000)
Cs (0.000, 0.000, 0.174)
Cs (0.000, 0.000, 0.826)
Sr (0.000, 0.339, 0.000)
Cs (0.500, 0.500, 0.174)
Sr (0.750, 0.589, 0.250)
Cs (0.000, 0.500, 0.674)
Cs (0.000, 0.500, 0.326)
Sr (0.750, 0.911, 0.250)
Cs (0.750, 0.250, 0.076)
Sr (0.750, 0.089, 0.750)
Sr (0.750, 0.411, 0.750)
Cs (0.500, 0.000, 0.326)
Sr (0.000, 0.661, 0.000)
Cs (0.250, 0.250, 0.576)
Sr (0.000, 0.161, 0.500)
Cs (0.250, 0.250, 0.924)
Sr (0.500, 0.839, 0.000)
Cs (0.250, 0.750, 0.076)
Cs (0.250, 0.750, 0.424)
Cs (0.750, 0.750, 0.924)
Sr (0.500, 0.661, 0.500)
Sr (0.500, 0.339, 0.500)
Cs (0.500, 0.000, 0.674)
Cs (0.750, 0.750, 0.576)
Sr (0.250, 0.411, 0.250)
Sr (0.000, 0.839, 0.500)
Cs (0.500, 0.500, 0.826)
Sr (0.250, 0.911, 0.750)
Sr (0.250, 0.589, 0.750)
Cs (0.750, 0.250, 0.424)

***

No. 2
CsSr | PBE-GGA | optimized geometry

Results
formation energy from the elements: 0.1894 eV/atom
spin magnetization: 0.00 μB/cell
mass density: 2.33 g cm⁻³

Cell lengths 15.435, 15.435, 4.579 Å; angles 90.00, 90.00, 120.00 degrees
Atoms (fractional coordinates):
Sr (0.855, 0.450, 0.750)
Sr (0.550, 0.406, 0.750)
Cs (0.792, 0.685, 0.250)
Cs (0.685, 0.893, 0.750)
Sr (0.406, 0.855, 0.250)
Cs (0.893, 0.208, 0.250)
Cs (0.107, 0.792, 0.750)
Sr (0.450, 0.594, 0.250)
Cs (0.208, 0.315, 0.750)
Sr (0.594, 0.145, 0.750)
Cs (0.315, 0.107, 0.250)
Sr (0.145, 0.550, 0.250)

***

No. 3
CsSr | PBE-GGA | optimized geometry

Results
formation energy from the elements: 0.1760 eV/atom
spin magnetization: 0.00 μB/cell
mass density: 2.50 g cm⁻³

Cell lengths 4.790, 7.590, 8.055 Å; angles 90.00, 90.00, 90.00 degrees
Atoms (fractional coordinates):
Cs (0.000, 0.500, 0.500)
Cs (0.500, 0.000, 0.500)
Sr (0.000, 0.000, 0.000)
Sr (0.500, 0.500, 0.000)

***

No. 4
CsSr | PBE-GGA | optimized geometry

Results
formation energy from the elements: 0.3969 eV/atom
spin magnetization: 1.17 μB/cell
mass density: 2.11 g cm⁻³

Cell lengths 8.835, 8.835, 8.902 Å; angles 90.00, 90.00, 90.00 degrees
Atoms (fractional coordinates):
Sr (0.329, 0.671, 0.500)
Sr (0.171, 0.171, 0.000)
Cs (0.181, 0.181, 0.500)
Sr (0.671, 0.329, 0.500)
Cs (0.819, 0.819, 0.500)
Cs (0.681, 0.319, 0.000)
Sr (0.829, 0.829, 0.000)
Cs (0.319, 0.681, 0.000)